(1)
A plane-wave DFT calculation with PBE was carried out for an optimized crystal structure of TmScSn2.

POSCAR file:
```
TmScSn2
1.0
0.0000 3.6793 3.6793
3.6793 0.0000 3.6793
3.6793 3.6793 0.0000
Tm Sc Sn
1 1 2
direct
0.0000 0.0000 0.0000
0.5000 0.5000 0.5000
0.2500 0.2500 0.2500
0.7500 0.7500 0.7500
```

Computed properties:
* SG: Fm-3m
* energy of formation from the pure elements: -0.473 eV/atom
* N(E_F): 3.08 states/eV per cell
* crystal system: cubic
* relative energy among the computed polymorphs: 0.132 eV per atom

=====

(2)
A plane-wave DFT calculation with PBE was carried out for an optimized crystal structure of TmScSn2.

POSCAR file:
```
TmScSn2
1.0
6.0537 0.0000 0.0000
0.0000 6.0591 0.0000
-2.9560 0.0000 11.0621
Tm Sc Sn
4 4 8
direct
0.1922 0.1257 0.1337
0.1922 0.8743 0.6337
0.8078 0.1257 0.3663
0.8078 0.8743 0.8663
0.3153 0.3734 0.8713
0.3153 0.6266 0.3713
0.6847 0.3734 0.6287
0.6847 0.6266 0.1287
0.1713 0.3759 0.6016
0.1713 0.6241 0.1016
0.3280 0.1299 0.4073
0.3280 0.8701 0.9073
0.6720 0.1299 0.0927
0.6720 0.8701 0.5927
0.8287 0.3759 0.8984
0.8287 0.6241 0.3984
```

Computed properties:
* SG: P2/c
* energy of formation from the pure elements: -0.605 eV/atom
* N(E_F): 13.39 states/eV per cell
* crystal system: monoclinic
* relative energy among the computed polymorphs: 0.000 eV per atom

=====

(3)
A plane-wave DFT calculation with PBE was carried out for an optimized crystal structure of TmScSn.

POSCAR file:
```
TmScSn
1.0
0.0000 2.4322 6.4575
2.4265 0.0000 6.4575
2.4265 2.4322 0.0000
Tm Sc Sn
1 1 1
direct
0.0000 0.0000 0.0000
0.3200 0.3200 0.6800
0.6677 0.6677 0.3323
```

Computed properties:
* SG: Fmm2
* energy of formation from the pure elements: -0.405 eV/atom
* N(E_F): 2.94 states/eV per cell
* crystal system: orthorhombic

=====

(4)
A plane-wave DFT calculation with PBE was carried out for an optimized crystal structure of Tm2ScSn.

POSCAR file:
```
Tm2ScSn
1.0
4.6800 0.0000 0.0000
0.0000 4.6800 0.0000
0.0000 0.0000 4.6532
Tm Sc Sn
2 1 1
direct
0.0000 0.5000 0.0000
0.5000 0.0000 0.0000
0.0000 0.0000 0.5000
0.5000 0.5000 0.5000
```

Computed properties:
* SG: P4/mmm
* energy of formation from the pure elements: -0.391 eV/atom
* N(E_F): 5.07 states/eV per cell
* crystal system: tetragonal
* relative energy among the computed polymorphs: 0.000 eV per atom

=====

(5)
A plane-wave DFT calculation with PBE was carried out for an optimized crystal structure of TmSc2Sn.

POSCAR file:
```
TmSc2Sn
1.0
2.0460 -5.8470 0.0000
2.0460 5.8470 0.0000
0.0000 0.0000 8.7397
Tm Sc Sn
2 4 2
direct
0.0518 0.9482 0.7500
0.9482 0.0518 0.2500
0.3663 0.6337 0.5529
0.3663 0.6337 0.9471
0.6337 0.3663 0.0529
0.6337 0.3663 0.4471
0.2414 0.7586 0.2500
0.7586 0.2414 0.7500
```

Computed properties:
* SG: Cmcm
* energy of formation from the pure elements: -0.375 eV/atom
* N(E_F): 9.06 states/eV per cell
* crystal system: orthorhombic
* relative energy among the computed polymorphs: 0.071 eV per atom

=====

(6)
A plane-wave DFT calculation with PBE was carried out for an optimized crystal structure of TmSc2Sn.

POSCAR file:
```
TmSc2Sn
1.0
1.6537 0.9548 11.1709
-1.6537 0.9548 11.1709
0.0000 -1.9096 11.1709
Tm Sc Sn
1 2 1
direct
0.0000 0.0000 0.0000
0.0946 0.0946 0.0946
0.9054 0.9054 0.9054
0.5000 0.5000 0.5000
```

Computed properties:
* SG: R-3m
* energy of formation from the pure elements: 0.039 eV/atom
* N(E_F): 5.96 states/eV per cell
* crystal system: trigonal
* relative energy among the computed polymorphs: 0.486 eV per atom

=====

(7)
A plane-wave DFT calculation with PBE was carried out for an optimized crystal structure of Tm4ScSn.

POSCAR file:
```
Tm4ScSn
1.0
5.0739 0.0000 0.0000
0.0000 5.0739 0.0000
0.0000 0.0000 7.4918
Tm Sc Sn
4 1 1
direct
0.0000 0.5000 0.2467
0.0000 0.5000 0.7533
0.5000 0.0000 0.2467
0.5000 0.0000 0.7533
0.0000 0.0000 0.0000
0.5000 0.5000 0.5000
```

Computed properties:
* SG: P4/mmm
* energy of formation from the pure elements: 0.200 eV/atom
* N(E_F): 7.76 states/eV per cell
* crystal system: tetragonal

=====

(8)
A plane-wave DFT calculation with PBE was carried out for an optimized crystal structure of TmSc8Sn2.

POSCAR file:
```
TmSc8Sn2
1.0
4.1004 -7.1644 0.0000
4.1004 7.1644 0.0000
-2.7243 0.0000 4.6114
Tm Sc Sn
1 8 2
direct
0.0000 0.0000 0.0000
0.0971 0.3299 0.6479
0.2126 0.7874 0.0000
0.3299 0.0971 0.6479
0.4224 0.4224 0.2083
0.5776 0.5776 0.7917
0.6701 0.9029 0.3521
0.7874 0.2126 0.0000
0.9029 0.6701 0.3521
0.3079 0.6921 0.5000
0.6921 0.3079 0.5000
```

Computed properties:
* SG: C2/m
* energy of formation from the pure elements: -0.137 eV/atom
* N(E_F): 15.95 states/eV per cell
* crystal system: monoclinic

=====

V list, top to bottom, in A^3/atom: 24.90; 25.36; 25.41; 25.48; 26.14; 26.46; 32.15; 24.63